5
Lattice="4.1723 0.0000 0.0000 0.0000 5.9034 0.0000 0.0000 0.0000 5.9034" Properties=species:S:1:pos:R:3 comment="K2BeCuSi | the Alexandria database | PBEsol | relaxed" magnetic_moment_mub_per_atom=0.19 e_form_raw_ev_per_atom=0.919 rho_g_cm3=2.04 n_ef_per_ev_cell=3.006 pbc="T T T"
Si 2.0862 2.9517 2.9517
Be 2.0862 0.0000 0.0000
Cu 0.0000 0.0000 0.0000
K 0.0000 2.9517 0.0000
K 0.0000 0.0000 2.9517